Arrangement A

Material: MnCu2Mo
Method: DFT, PBE-GGA
State: relaxed

Cell: 5.295 5.295 6.430 Å, 65.68 65.68 90.00°
Positions (direct):
Cu 0.599 0.125 0.250
Cu 0.375 0.401 0.750
Cu 0.875 0.849 0.750
Cu 0.151 0.625 0.250
Mn 0.500 0.500 0.000
Mn 0.250 0.750 0.500
Mo 0.000 0.000 0.000
Mo 0.750 0.250 0.500

Arrangement B

Material: MnCu2Mo
Method: DFT, PBE-GGA
State: relaxed

Cell: 4.101 2.514 5.522 Å, 62.87 90.00 90.00°
Positions (direct):
Cu 0.000 0.506 0.494
Cu 0.000 0.994 0.006
Mn 0.500 0.250 0.250
Mo 0.500 0.750 0.750

Arrangement C

Material: MnCu2Mo
Method: DFT, PBE-GGA
State: relaxed

Cell: 4.165 4.165 4.165 Å, 60.00 60.00 60.00°
Positions (direct):
Cu 0.250 0.250 0.250
Cu 0.750 0.750 0.750
Mn 0.000 0.000 0.000
Mo 0.500 0.500 0.500

Arrangement D

Material: MnCu2Mo
Method: DFT, PBE-GGA
State: relaxed

Cell: 4.224 2.559 4.889 Å, 84.79 90.00 90.00°
Positions (direct):
Mo 0.500 0.710 0.758
Cu 0.500 0.150 0.257
Cu 0.000 0.119 0.998
Mn 0.000 0.521 0.487

Stability, lowest: arrangement A

Arrangement A

Material: MnCu2Mo
Method: DFT, PBE-GGA
State: relaxed

Cell: 3.485 3.479 4.158 Å, 90.00 90.00 90.00°
Positions (direct):
Cu 0.000 0.000 0.000
Cu 0.500 0.500 0.000
Mn 0.500 0.000 0.500
Mo 0.000 0.500 0.500

Arrangement B

Material: MnCu2Mo
Method: DFT, PBE-GGA
State: relaxed

Cell: 8.906 8.906 8.906 Å, 17.25 17.25 17.25°
Positions (direct):
Cu 0.997 0.997 0.997
Cu 0.503 0.503 0.503
Mn 0.250 0.250 0.250
Mo 0.750 0.750 0.750

Stability, lowest: arrangement B

Arrangement A

Material: MnCu2Mo
Method: DFT, PBE-GGA
State: relaxed

Cell: 8.813 8.813 8.813 Å, 17.40 17.40 17.40°
Positions (direct):
Cu 0.250 0.250 0.250
Cu 0.996 0.996 0.996
Mn 0.504 0.504 0.504
Mo 0.750 0.750 0.750

Arrangement B

Material: MnCu2Mo
Method: DFT, PBE-GGA
State: relaxed

Cell: 4.814 4.814 4.814 Å, 137.12 137.20 62.20°
Positions (direct):
Cu 0.500 0.500 0.000
Cu 0.000 0.000 0.000
Mo 0.250 0.750 0.500
Mn 0.750 0.250 0.500

Arrangement C

Material: MnCu2Mo
Method: DFT, PBE-GGA
State: relaxed

Cell: 4.538 4.538 4.708 Å, 81.23 81.23 33.66°
Positions (direct):
Cu 0.250 0.250 0.238
Cu 0.996 0.996 0.017
Mn 0.506 0.506 0.506
Mo 0.749 0.749 0.739

Arrangement D

Material: MnCu2Mo
Method: DFT, PBE-GGA
State: relaxed

Cell: 2.626 2.626 7.651 Å, 90.00 90.00 90.00°
Positions (direct):
Mo 0.500 0.500 0.751
Cu 0.000 0.000 0.017
Cu 0.500 0.500 0.247
Mn 0.000 0.000 0.485

Stability, lowest: arrangement A

Arrangement A

Material: MnCu3N
Method: DFT, PBE-GGA
State: relaxed

Cell: 3.916 3.916 3.916 Å, 90.00 90.00 90.00°
Positions (direct):
N 0.000 0.000 0.000
Mn 0.500 0.500 0.500
Cu 0.000 0.500 0.000
Cu 0.000 0.000 0.500
Cu 0.500 0.000 0.000

Arrangement B

Material: MnCu3N
Method: DFT, PBE-GGA
State: relaxed

Cell: 4.419 4.419 4.419 Å, 90.00 90.00 90.00°
Positions (direct):
Cu 0.000 0.000 0.500
Cu 0.000 0.500 0.000
Cu 0.500 0.000 0.000
Mn 0.000 0.000 0.000
N 0.500 0.500 0.500

Stability, lowest: arrangement B

Arrangement A

Material: MnCuP2N
Method: DFT, PBE-GGA
State: relaxed

Cell: 4.186 4.742 4.186 Å, 90.00 90.00 90.00°
Positions (direct):
Mn 0.000 0.000 0.000
P 0.000 0.000 0.500
P 0.500 0.000 0.000
N 0.500 0.500 0.500
Cu 0.000 0.500 0.000

Arrangement B

Material: MnCuP2N
Method: DFT, PBE-GGA
State: relaxed

Cell: 4.244 4.842 4.244 Å, 90.00 90.00 90.00°
Positions (direct):
Cu 0.000 0.000 0.000
P 0.500 0.000 0.000
P 0.000 0.000 0.500
N 0.500 0.500 0.500
Mn 0.000 0.500 0.000

Stability, lowest: arrangement B

Arrangement A

Material: MnCuSN2
Method: DFT, PBE-GGA
State: relaxed

Cell: 3.513 3.513 5.140 Å, 90.00 90.00 90.00°
Positions (direct):
S 0.000 0.000 0.500
N 0.500 0.000 0.000
N 0.000 0.500 0.000
Cu 0.500 0.500 0.500
Mn 0.000 0.000 0.000

Arrangement B

Material: MnCuSN2
Method: DFT, PBE-GGA
State: relaxed

Cell: 3.572 3.572 6.361 Å, 90.00 90.00 90.00°
Positions (direct):
S 0.000 0.000 0.500
Mn 0.500 0.500 0.500
N 0.000 0.500 0.000
N 0.500 0.000 0.000
Cu 0.000 0.000 0.000

Stability, lowest: arrangement B

Arrangement A

Material: MnCuS2N
Method: DFT, PBE-GGA
State: relaxed

Cell: 4.666 4.666 3.430 Å, 90.00 90.00 90.00°
Positions (direct):
S 0.000 0.500 0.000
S 0.500 0.000 0.000
N 0.000 0.000 0.500
Cu 0.500 0.500 0.500
Mn 0.000 0.000 0.000

Arrangement B

Material: MnCuS2N
Method: DFT, PBE-GGA
State: relaxed

Cell: 4.704 4.704 3.615 Å, 90.00 90.00 90.00°
Positions (direct):
Cu 0.000 0.000 0.000
N 0.000 0.000 0.500
S 0.000 0.500 0.000
S 0.500 0.000 0.000
Mn 0.500 0.500 0.500

Stability, lowest: arrangement B

Arrangement A

Material: MnCuSe2N
Method: DFT, PBE-GGA
State: relaxed

Cell: 4.991 4.991 3.576 Å, 90.00 90.00 90.00°
Positions (direct):
Cu 0.000 0.000 0.000
N 0.000 0.000 0.500
Se 0.000 0.500 0.000
Se 0.500 0.000 0.000
Mn 0.500 0.500 0.500

Arrangement B

Material: MnCuSe2N
Method: DFT, PBE-GGA
State: relaxed

Cell: 4.925 4.925 3.431 Å, 90.00 90.00 90.00°
Positions (direct):
Cu 0.500 0.500 0.500
Mn 0.000 0.000 0.000
Se 0.000 0.500 0.000
Se 0.500 0.000 0.000
N 0.000 0.000 0.500

Stability, lowest: arrangement A

Arrangement A

Material: MnCuTe2N
Method: DFT, PBE-GGA
State: relaxed

Cell: 5.419 5.419 3.534 Å, 90.00 90.00 90.00°
Positions (direct):
N 0.000 0.000 0.500
Te 0.000 0.500 0.000
Te 0.500 0.000 0.000
Mn 0.500 0.500 0.500
Cu 0.000 0.000 0.000

Arrangement B

Material: MnCuTe2N
Method: DFT, PBE-GGA
State: relaxed

Cell: 5.253 5.253 3.430 Å, 90.00 90.00 90.00°
Positions (direct):
Mn 0.000 0.000 0.000
N 0.000 0.000 0.500
Te 0.000 0.500 0.000
Te 0.500 0.000 0.000
Cu 0.500 0.500 0.500

Stability, lowest: arrangement A

Arrangement A

Material: MnCuTeN2
Method: DFT, PBE-GGA
State: relaxed

Cell: 3.733 3.733 5.375 Å, 90.00 90.00 90.00°
Positions (direct):
Te 0.000 0.000 0.500
N 0.500 0.000 0.000
N 0.000 0.500 0.000
Cu 0.000 0.000 0.000
Mn 0.500 0.500 0.500

Arrangement B

Material: MnCuTeN2
Method: DFT, PBE-GGA
State: relaxed

Cell: 3.625 3.625 5.589 Å, 90.00 90.00 90.00°
Positions (direct):
Te 0.000 0.000 0.500
N 0.500 0.000 0.000
N 0.000 0.500 0.000
Mn 0.000 0.000 0.000
Cu 0.500 0.500 0.500

Stability, lowest: arrangement A

Arrangement A

Material: NaMnCuSe2
Method: DFT, PBE-GGA
State: relaxed

Cell: 4.946 6.903 6.875 Å, 101.56 90.00 90.00°
Positions (direct):
Se 0.304 0.252 0.050
Se 0.304 0.748 0.450
Se 0.696 0.748 0.950
Se 0.696 0.252 0.550
Na 0.817 0.500 0.250
Na 0.183 0.500 0.750
Cu 0.000 0.000 0.000
Cu 0.000 0.000 0.500
Mn 0.499 0.000 0.250
Mn 0.501 0.000 0.750

Arrangement B

Material: NaMnCuSe2
Method: DFT, PBE-GGA
State: relaxed

Cell: 4.132 4.132 7.223 Å, 90.00 90.00 120.00°
Positions (direct):
Se 0.333 0.667 0.737
Se 0.000 0.000 0.261
Cu 0.000 0.000 0.622
Na 0.667 0.333 0.985
Mn 0.333 0.667 0.395

Stability, lowest: arrangement A

Arrangement A

Material: MnNb2Cu
Method: DFT, PBE-GGA
State: relaxed

Cell: 6.890 6.890 5.559 Å, 51.70 51.70 90.00°
Positions (direct):
Cu 0.000 0.000 0.000
Cu 0.750 0.250 0.500
Nb 0.603 0.125 0.250
Nb 0.375 0.397 0.750
Nb 0.147 0.625 0.250
Nb 0.875 0.853 0.750
Mn 0.250 0.750 0.500
Mn 0.500 0.500 0.000

Arrangement B

Material: MnNb2Cu
Method: DFT, PBE-GGA
State: relaxed

Cell: 4.393 4.393 4.393 Å, 60.00 60.00 60.00°
Positions (direct):
Nb 0.250 0.250 0.250
Nb 0.750 0.750 0.750
Cu 0.500 0.500 0.500
Mn 0.000 0.000 0.000

Stability, lowest: arrangement A